# NaPa2SbS8, relaxed, DFT GGA-PBE
# final energy = -5.74 eV per atom
# uncorrected formation energy = -11.4 eV/f.u.
data_NaPa2SbS8
_space_group_name_H-M_alt 'P 1 2/m 1'
_space_group_IT_number 10
_cell_length_a 6.0853
_cell_length_b 8.2091
_cell_length_c 6.2158
_cell_angle_alpha 90.00
_cell_angle_beta 92.94
_cell_angle_gamma 90.00
loop_
_space_group_symop_operation_xyz
'x,y,z'
'-x,-y,-z'
'-x,y,-z'
'x,-y,z'
loop_
_atom_site_label
_atom_site_type_symbol
_atom_site_fract_x
_atom_site_fract_y
_atom_site_fract_z
_atom_site_occupancy
Na1 Na 0.0000 0.0000 0.0000 1
Pa1 Pa 0.5000 0.2496 0.5000 1
Sb1 Sb 0.0000 0.5000 0.0000 1
S1 S 0.2409 0.2735 0.1495 1
S2 S 0.2581 0.5000 0.6442 1
S3 S 0.2983 0.0000 0.6617 1